Record 1
Computed, not measured: crystalline CsYTmSe3 at its relaxed geometry at the PBE level of DFT.

## Properties
**Theoretical density**: 5.06 Mg/m³
**Space group**: No. 63
**Uncorrected energy**: -63.4 eV for the cell shown

```
CsYTmSe3
1.0
-0.207 6.267 5.720
-1.086 -2.629 -7.997
-10.728 -2.407 2.249
Se Y Cs Tm
6 2 2 2
Direct
0.057 0.943 0.250
0.943 0.057 0.750
0.383 0.617 0.045
0.617 0.383 0.955
0.383 0.617 0.455
0.617 0.383 0.545
0.000 0.000 0.000
0.000 0.000 0.500
0.738 0.262 0.250
0.262 0.738 0.750
0.466 0.534 0.250
0.534 0.466 0.750
```

Record 2
Computed, not measured: crystalline CsUSe3 at its relaxed geometry at the PBE level of DFT.

## Properties
**Theoretical density**: 6.07 Mg/m³
**Space group**: No. 221
**Uncorrected energy**: -28.6 eV for the cell shown

```
CsUSe3
1.0
5.499 0.000 0.000
0.000 5.499 0.000
0.000 0.000 5.499
Cs Se U
1 3 1
Direct
0.500 0.500 0.500
0.500 0.000 0.000
0.000 0.500 0.000
0.000 0.000 0.500
0.000 0.000 0.000
```

Record 3
Computed, not measured: crystalline Cs4USe5 at its relaxed geometry at the PBE level of DFT.

## Properties
**Theoretical density**: 4.42 Mg/m³
**Space group**: No. 79
**Uncorrected energy**: -43.8 eV for the cell shown

```
Cs4USe5
1.0
-5.511 5.511 3.605
5.511 -5.511 3.605
5.511 5.511 -3.605
Cs Se U
4 5 1
Direct
0.210 0.607 0.798
0.607 0.808 0.397
0.808 0.411 0.202
0.411 0.210 0.603
0.931 0.777 0.696
0.082 0.235 0.304
0.777 0.082 0.846
0.407 0.407 0.000
0.235 0.931 0.154
0.042 0.042 0.000
```

Record 4
Computed, not measured: crystalline CsU4Se8 at its relaxed geometry at the PBE level of DFT.

## Properties
**Theoretical density**: 5.42 Mg/m³
**Space group**: No. 166
**Uncorrected energy**: -89.7 eV for the cell shown

```
CsU4Se8
1.0
3.646 3.629 8.704
7.911 -2.751 5.663
8.656 4.721 2.235
U Se Cs
4 8 1
Direct
0.000 0.000 0.000
0.000 0.500 0.500
0.500 0.500 0.000
0.500 0.000 0.500
0.225 0.225 0.725
0.276 0.276 0.276
0.775 0.775 0.275
0.724 0.724 0.724
0.725 0.225 0.225
0.225 0.725 0.225
0.275 0.775 0.775
0.775 0.275 0.775
0.500 0.500 0.500
```

Record 5
Computed, not measured: crystalline CsW3Se5 at its relaxed geometry at the PBE level of DFT.

## Properties
**Theoretical density**: 7.83 Mg/m³
**Space group**: No. 191
**Uncorrected energy**: -58.9 eV for the cell shown

```
CsW3Se5
1.0
-5.797 -0.149 -0.305
3.186 -3.025 -3.798
-0.096 -6.171 4.834
Se W Cs
5 3 1
Direct
0.333 0.667 0.250
0.667 0.333 0.250
0.667 0.333 0.750
0.000 0.000 0.500
0.333 0.667 0.750
0.500 0.000 0.500
0.500 0.500 0.500
0.000 0.500 0.500
0.000 0.000 0.000
```

Record 6
Computed, not measured: crystalline Cs2YZrSe6 at its relaxed geometry at the PBE level of DFT.

## Properties
**Theoretical density**: 4.66 Mg/m³
**Space group**: No. 225
**Uncorrected energy**: -48.8 eV for the cell shown

```
Cs2YZrSe6
1.0
0.000 5.473 5.473
5.473 0.000 5.473
5.473 5.473 0.000
Zr Cs Se Y
1 2 6 1
Direct
0.000 0.000 0.000
0.250 0.250 0.250
0.750 0.750 0.750
0.243 0.757 0.757
0.757 0.243 0.757
0.243 0.757 0.243
0.757 0.243 0.243
0.757 0.757 0.243
0.243 0.243 0.757
0.500 0.500 0.500
```

Record 7
Computed, not measured: crystalline Cs2ZnSe2 at its relaxed geometry at the PBE level of DFT.

## Properties
**Theoretical density**: 2.52 Mg/m³
**Space group**: No. 139
**Uncorrected energy**: -14.7 eV for the cell shown

```
Cs2ZnSe2
1.0
5.460 4.388 4.328
-1.404 7.891 -1.886
-5.252 -5.819 2.521
Se Zn Cs
2 1 2
Direct
0.171 0.171 0.000
0.829 0.829 0.000
0.000 0.000 0.000
0.250 0.750 0.500
0.750 0.250 0.500
```

Record 8
Computed, not measured: crystalline CsZr4Se8 at its relaxed geometry at the PBE level of DFT.

## Properties
**Theoretical density**: 4.16 Mg/m³
**Space group**: No. 166
**Uncorrected energy**: -81.4 eV for the cell shown

```
CsZr4Se8
1.0
-0.549 -9.462 3.418
6.588 -6.942 3.150
1.975 -4.666 8.709
Se Zr Cs
8 4 1
Direct
0.225 0.728 0.225
0.726 0.726 0.726
0.775 0.775 0.272
0.225 0.225 0.728
0.775 0.272 0.775
0.272 0.775 0.775
0.728 0.225 0.225
0.274 0.274 0.274
0.000 0.000 0.000
0.500 0.000 0.500
0.000 0.500 0.500
0.500 0.500 0.000
0.500 0.500 0.500
```